1.
This record from Alexandria via LeMat-Bulk describes an optimized crystal structure of Nd2Ho2Er2Mg. The functional is PBE-GGA.

Unit cell a=12.103 b=3.635 c=11.560 alpha=90.00 beta=118.49 gamma=90.00
Space group C2/m (No. 12)
Unique sites:
Nd 0.028 0.000 0.246 [4 per cell]
Ho 0.247 0.000 0.129 [4 per cell]
Er 0.181 0.000 0.586 [4 per cell]
Mg 0.000 0.500 0.000 [2 per cell]

Density of states at the Fermi level (states/eV/cell): 16.20
Volume (Å³ per cell): 446.99
Uncorrected energy (eV/cell): -57.5
Crystal system: monoclinic
Energy of formation (eV per atom): 0.092
M_tot (Bohr magnetons per cell): 0.0



2.
This record from Alexandria via LeMat-Bulk describes an optimized crystal structure of HRuIO2. The functional is PBE-GGA.

Unit cell a=4.045 b=4.045 c=3.479 alpha=90.00 beta=90.00 gamma=90.00
Space group P4/mmm (No. 123)
Unique sites:
H 0.000 0.000 0.000 [1 per cell]
Ru 0.500 0.500 0.500 [1 per cell]
I 0.000 0.000 0.500 [1 per cell]
O 0.000 0.500 0.000 [2 per cell]

Density of states at the Fermi level (states/eV/cell): 5.23
Volume (Å³ per cell): 56.93
Uncorrected energy (eV/cell): -18.5
Offset from the most stable computed form (eV per atom): 1.168
Crystal system: tetragonal
M_tot (Bohr magnetons per cell): 0.0



3.
This record from Alexandria via LeMat-Bulk describes an optimized crystal structure of Ti3GaW. The functional is PBE-GGA.

Unit cell a=4.772 b=4.772 c=4.772 alpha=90.00 beta=90.00 gamma=90.00
Space group Pm-3m (No. 221)
Unique sites:
Ti 0.000 0.000 0.500 [3 per cell]
Ga 0.500 0.500 0.500 [1 per cell]
W 0.000 0.000 0.000 [1 per cell]

Density of states at the Fermi level (states/eV/cell): 8.16
Volume (Å³ per cell): 108.68
Uncorrected energy (eV/cell): -35.3
Offset from the most stable computed form (eV per atom): 0.000
Crystal system: cubic
Energy of formation (eV per atom): 0.870
M_tot (Bohr magnetons per cell): 1.2



4.
This record from Alexandria via LeMat-Bulk describes an optimized crystal structure of AlCrSeN2. The functional is PBE-GGA.

Unit cell a=3.891 b=3.891 c=4.706 alpha=90.00 beta=90.00 gamma=90.00
Space group P4/mmm (No. 123)
Unique sites:
Al 0.000 0.000 0.000 [1 per cell]
Cr 0.500 0.500 0.000 [1 per cell]
Se 0.000 0.000 0.500 [1 per cell]
N 0.000 0.500 0.500 [2 per cell]

Density of states at the Fermi level (states/eV/cell): 6.27
Volume (Å³ per cell): 71.25
Uncorrected energy (eV/cell): -23.1
Offset from the most stable computed form (eV per atom): 1.747
Crystal system: tetragonal
M_tot (Bohr magnetons per cell): 0.0